# 1
Computed, not measured: crystalline ZnRePb3 at its relaxed geometry at the PBE-GGA level of DFT.

Lattice parameters (Å, degrees): 5.276 5.276 5.276 90.00 90.00 90.00
Positions (direct):
Zn  0.000  0.000  0.000
Re  0.500  0.500  0.500
Pb  0.000  0.000  0.500
Pb  0.000  0.500  0.000
Pb  0.500  0.000  0.000

Calculated values
Calculated formation energy = 6.91 eV per formula unit
D(E_F) = 3.18 states/eV/cell
E_tot = -3.587 eV per atom
Excess energy over the best structure of this formula in the dataset = 3.87 eV/f.u.

***

# 2
Computed, not measured: crystalline SrSb2 at its relaxed geometry at the PBE-GGA level of DFT.

Lattice parameters (Å, degrees): 4.525 8.291 6.091 90.00 90.00 90.00
Positions (direct):
Sr  0.000  0.000  0.000
Sr  0.500  0.500  0.500
Sb  0.248  0.389  0.000
Sb  0.252  0.889  0.500
Sb  0.748  0.111  0.500
Sb  0.752  0.611  0.000

Calculated values
D(E_F) = 1.39 states/eV/cell
ΔE_f (raw) = -456 meV per atom
E_tot = -3.765 eV per atom

***

# 3
Computed, not measured: crystalline MgTaCr4 at its relaxed geometry at the PBE-GGA level of DFT.

Lattice parameters (Å, degrees): 4.893 4.893 4.893 60.00 60.00 60.00
Positions (direct):
Mg  0.000  0.000  0.000
Ta  0.750  0.750  0.750
Cr  0.374  0.374  0.374
Cr  0.374  0.374  0.878
Cr  0.374  0.878  0.374
Cr  0.878  0.374  0.374

Calculated values
Calculated formation energy = 0.77 eV per formula unit
D(E_F) = 7.88 states/eV/cell
E_tot = -8.528 eV per atom

***

# 4
Computed, not measured: crystalline BaHg4I12 at its relaxed geometry at the PBE-GGA level of DFT.

Lattice parameters (Å, degrees): 9.955 9.955 9.955 109.47 109.47 109.47
Positions (direct):
Ba  0.000  0.000  0.000
Hg  0.000  0.000  0.500
Hg  0.000  0.500  0.000
Hg  0.500  0.000  0.000
Hg  0.500  0.500  0.500
I  0.106  0.822  0.284
I  0.178  0.284  0.461
I  0.178  0.716  0.894
I  0.284  0.106  0.822
I  0.284  0.461  0.178
I  0.461  0.178  0.284
I  0.539  0.822  0.716
I  0.716  0.539  0.822
I  0.716  0.894  0.178
I  0.822  0.284  0.106
I  0.822  0.716  0.539
I  0.894  0.178  0.716

Calculated values
D(E_F) = 20.99 states/eV/cell
ΔE_f (raw) = -344 meV per atom
E_tot = -1.622 eV per atom

***

# 5
Computed, not measured: crystalline TiZnCoAg at its relaxed geometry at the PBE-GGA level of DFT.

Lattice parameters (Å, degrees): 6.142 6.142 6.142 90.00 90.00 90.00
Positions (direct):
Ti  0.000  0.000  0.000
Ti  0.000  0.500  0.500
Ti  0.500  0.000  0.500
Ti  0.500  0.500  0.000
Zn  0.000  0.000  0.500
Zn  0.000  0.500  0.000
Zn  0.500  0.000  0.000
Zn  0.500  0.500  0.500
Co  0.250  0.250  0.750
Co  0.250  0.750  0.250
Co  0.750  0.250  0.250
Co  0.750  0.750  0.750
Ag  0.250  0.250  0.250
Ag  0.250  0.750  0.750
Ag  0.750  0.250  0.750
Ag  0.750  0.750  0.250

Calculated values
Calculated formation energy = -0.04 eV per formula unit
D(E_F) = 12.99 states/eV/cell
E_tot = -4.792 eV per atom

***

# 6
Computed, not measured: crystalline SrInAs2 at its relaxed geometry at the PBE-GGA level of DFT.

Lattice parameters (Å, degrees): 4.888 4.888 4.119 90.00 90.00 90.00
Positions (direct):
Sr  0.000  0.000  0.000
In  0.500  0.500  0.000
As  0.000  0.500  0.500
As  0.500  0.000  0.500

Calculated values
Calculated formation energy = -1.63 eV per formula unit
D(E_F) = 2.61 states/eV/cell
E_tot = -3.837 eV per atom

***

# 7
Computed, not measured: crystalline Rb2BaTl2 at its relaxed geometry at the PBE-GGA level of DFT.

Lattice parameters (Å, degrees): 5.321 5.321 17.236 90.00 90.00 90.00
Positions (direct):
Rb  0.000  0.500  0.250
Rb  0.000  0.500  0.750
Rb  0.500  0.000  0.250
Rb  0.500  0.000  0.750
Ba  0.000  0.000  0.000
Ba  0.500  0.500  0.500
Tl  0.000  0.000  0.412
Tl  0.000  0.000  0.588
Tl  0.500  0.500  0.088
Tl  0.500  0.500  0.912

Calculated values
Calculated formation energy = -0.07 eV per formula unit
D(E_F) = 17.36 states/eV/cell
E_tot = -1.732 eV per atom
Excess energy over the best structure of this formula in the dataset = 0.12 eV/f.u.

***

# 8
Computed, not measured: crystalline PrNd2Cd at its relaxed geometry at the PBE-GGA level of DFT.

Lattice parameters (Å, degrees): 7.955 7.955 7.955 90.00 90.00 90.00
Positions (direct):
Pr  0.000  0.000  0.000
Pr  0.000  0.500  0.500
Pr  0.500  0.000  0.500
Pr  0.500  0.500  0.000
Nd  0.000  0.000  0.500
Nd  0.000  0.500  0.000
Nd  0.250  0.250  0.750
Nd  0.250  0.750  0.250
Nd  0.500  0.000  0.000
Nd  0.500  0.500  0.500
Nd  0.750  0.250  0.250
Nd  0.750  0.750  0.750
Cd  0.250  0.250  0.250
Cd  0.250  0.750  0.750
Cd  0.750  0.250  0.750
Cd  0.750  0.750  0.250

Calculated values
Calculated formation energy = -0.10 eV per formula unit
D(E_F) = 22.14 states/eV/cell
E_tot = -3.833 eV per atom
Excess energy over the best structure of this formula in the dataset = 0.51 eV/f.u.

***

# 9
Computed, not measured: crystalline TlIn2BiPb2 at its relaxed geometry at the PBE-GGA level of DFT.

Lattice parameters (Å, degrees): 4.940 10.543 7.011 90.00 90.00 90.00
Positions (direct):
Tl  0.000  0.003  0.000
Tl  0.000  0.997  0.500
In  0.000  0.334  0.462
In  0.000  0.666  0.962
In  0.500  0.160  0.740
In  0.500  0.840  0.240
Bi  0.500  0.177  0.265
Bi  0.500  0.823  0.765
Pb  0.000  0.333  0.937
Pb  0.000  0.667  0.437
Pb  0.500  0.497  0.207
Pb  0.500  0.503  0.707

Calculated values
Calculated formation energy = 0.04 eV per formula unit
D(E_F) = 4.45 states/eV/cell
E_tot = -3.184 eV per atom

***

# 10
Computed, not measured: crystalline LiCd2N at its relaxed geometry at the PBE-GGA level of DFT.

Lattice parameters (Å, degrees): 6.370 6.370 9.499 90.00 90.00 90.00
Positions (direct):
Li  0.000  0.000  0.000
Li  0.000  0.500  0.250
Li  0.500  0.000  0.750
Li  0.500  0.500  0.500
Cd  0.135  0.250  0.625
Cd  0.250  0.635  0.875
Cd  0.250  0.865  0.375
Cd  0.365  0.250  0.125
Cd  0.635  0.750  0.125
Cd  0.750  0.135  0.375
Cd  0.750  0.365  0.875
Cd  0.865  0.750  0.625
N  0.000  0.000  0.500
N  0.000  0.500  0.750
N  0.500  0.000  0.250
N  0.500  0.500  0.000

Calculated values
D(E_F) = 10.77 states/eV/cell
ΔE_f (raw) = 526 meV per atom
E_tot = -2.492 eV per atom

***

# 11
Computed, not measured: crystalline Sc2TeRh2 at its relaxed geometry at the PBE-GGA level of DFT.

Lattice parameters (Å, degrees): 7.902 7.902 3.118 90.00 90.00 90.00
Positions (direct):
Sc  0.153  0.347  0.000
Sc  0.347  0.847  0.000
Sc  0.653  0.153  0.000
Sc  0.847  0.653  0.000
Te  0.000  0.000  0.000
Te  0.500  0.500  0.000
Rh  0.132  0.632  0.500
Rh  0.368  0.132  0.500
Rh  0.632  0.868  0.500
Rh  0.868  0.368  0.500

Calculated values
D(E_F) = 7.02 states/eV/cell
ΔE_f (raw) = -581 meV per atom
E_tot = -6.683 eV per atom
Excess energy over the best structure of this formula in the dataset = 1.12 eV/f.u.

***

# 12
Computed, not measured: crystalline HfZr4Os at its relaxed geometry at the PBE-GGA level of DFT.

Lattice parameters (Å, degrees): 10.427 4.872 5.972 90.00 124.03 90.00
Positions (direct):
Hf  0.000  0.000  0.000
Hf  0.500  0.500  0.000
Zr  0.150  0.500  0.811
Zr  0.203  0.500  0.348
Zr  0.297  0.000  0.652
Zr  0.350  0.000  0.189
Zr  0.650  0.000  0.811
Zr  0.703  0.000  0.348
Zr  0.797  0.500  0.652
Zr  0.850  0.500  0.189
Os  0.000  0.000  0.500
Os  0.500  0.500  0.500

Calculated values
Calculated formation energy = -1.12 eV per formula unit
D(E_F) = 9.20 states/eV/cell
E_tot = -9.416 eV per atom

***

# 13
Computed, not measured: crystalline Sr2Mo at its relaxed geometry at the PBE-GGA level of DFT.

Lattice parameters (Å, degrees): 3.691 3.691 8.531 90.00 90.00 120.00
Positions (direct):
Sr  0.333  0.667  0.277
Sr  0.667  0.333  0.723
Mo  0.000  0.000  0.000

Calculated values
Calculated formation energy = 3.26 eV per formula unit
D(E_F) = 1.85 states/eV/cell
E_tot = -3.644 eV per atom
Excess energy over the best structure of this formula in the dataset = 1.80 eV/f.u.

***

# 14
Computed, not measured: crystalline NaPr2Ru at its relaxed geometry at the PBE-GGA level of DFT.

Lattice parameters (Å, degrees): 3.523 3.523 9.711 90.00 90.00 90.00
Positions (direct):
Na  0.000  0.000  0.000
Pr  0.500  0.500  0.322
Pr  0.500  0.500  0.678
Ru  0.000  0.000  0.500

Calculated values
Calculated formation energy = -0.27 eV per formula unit
D(E_F) = 2.72 states/eV/cell
E_tot = -5.105 eV per atom
Excess energy over the best structure of this formula in the dataset = 0.00 eV/f.u.

***

# 15
Computed, not measured: crystalline TlSb2Ir at its relaxed geometry at the PBE-GGA level of DFT.

Lattice parameters (Å, degrees): 5.880 7.984 4.165 90.00 104.87 90.00
Positions (direct):
Tl  0.000  0.000  0.000
Tl  0.500  0.500  0.000
Sb  0.250  0.250  0.500
Sb  0.250  0.750  0.500
Sb  0.750  0.250  0.500
Sb  0.750  0.750  0.500
Ir  0.000  0.500  0.000
Ir  0.500  0.000  0.000

Calculated values
D(E_F) = 4.63 states/eV/cell
ΔE_f (raw) = 509 meV per atom
E_tot = -4.359 eV per atom
Excess energy over the best structure of this formula in the dataset = 2.41 eV/f.u.

***

# 16
Computed, not measured: crystalline NaZrP2O8 at its relaxed geometry at the PBE-GGA level of DFT.

Lattice parameters (Å, degrees): 5.176 5.176 7.160 92.53 92.53 63.42
Positions (direct):
Na  0.000  0.000  0.000
Zr  0.000  0.000  0.500
P  0.342  0.342  0.260
P  0.658  0.658  0.740
O  0.209  0.674  0.292
O  0.216  0.216  0.403
O  0.275  0.275  0.056
O  0.326  0.791  0.708
O  0.674  0.209  0.292
O  0.725  0.725  0.944
O  0.784  0.784  0.597
O  0.791  0.326  0.708

Calculated values
D(E_F) = 3.13 states/eV/cell
ΔE_f (raw) = -2376 meV per atom
E_tot = -7.405 eV per atom
Excess energy over the best structure of this formula in the dataset = 0.00 eV/f.u.

***

# 17
Computed, not measured: crystalline Sr3In3Ag8 at its relaxed geometry at the PBE-GGA level of DFT.

Lattice parameters (Å, degrees): 9.066 9.066 9.066 149.31 112.11 76.33
Positions (direct):
Sr  0.000  0.000  0.000
Sr  0.298  0.298  0.000
Sr  0.702  0.702  0.000
In  0.290  0.500  0.790
In  0.500  0.000  0.500
In  0.710  0.500  0.210
Ag  0.029  0.668  0.361
Ag  0.148  0.865  0.283
Ag  0.308  0.668  0.639
Ag  0.418  0.135  0.283
Ag  0.582  0.865  0.717
Ag  0.692  0.332  0.361
Ag  0.852  0.135  0.717
Ag  0.971  0.332  0.639

Calculated values
Calculated formation energy = -3.31 eV per formula unit
D(E_F) = 4.27 states/eV/cell
E_tot = -2.813 eV per atom
Excess energy over the best structure of this formula in the dataset = 0.31 eV/f.u.

***

# 18
Computed, not measured: crystalline LiFeAs at its relaxed geometry at the PBE-GGA level of DFT.

Lattice parameters (Å, degrees): 3.020 3.020 8.055 90.00 90.00 90.00
Positions (direct):
Li  0.000  0.000  0.000
Li  0.500  0.500  0.500
Fe  0.000  0.000  0.321
Fe  0.500  0.500  0.821
As  0.000  0.000  0.678
As  0.500  0.500  0.178

Calculated values
Calculated formation energy = -0.44 eV per formula unit
D(E_F) = 0.92 states/eV/cell
E_tot = -5.157 eV per atom

***

# 19
Computed, not measured: crystalline BeP3 at its relaxed geometry at the PBE-GGA level of DFT.

Lattice parameters (Å, degrees): 3.178 3.178 5.219 90.00 90.00 90.00
Positions (direct):
Be  0.000  0.000  0.000
P  0.000  0.000  0.500
P  0.500  0.500  0.211
P  0.500  0.500  0.789

Calculated values
Calculated formation energy = 2.28 eV per formula unit
D(E_F) = 1.98 states/eV/cell
E_tot = -4.418 eV per atom
Excess energy over the best structure of this formula in the dataset = 2.89 eV/f.u.

***

# 20
Computed, not measured: crystalline Tl5Sn2Sb4 at its relaxed geometry at the PBE-GGA level of DFT.

Lattice parameters (Å, degrees): 8.709 8.709 10.466 110.21 110.21 30.34
Positions (direct):
Tl  0.000  0.000  0.000
Tl  0.264  0.264  0.384
Tl  0.359  0.359  0.050
Tl  0.641  0.641  0.950
Tl  0.736  0.736  0.616
Sn  0.005  0.005  0.641
Sn  0.995  0.995  0.359
Sb  0.186  0.186  0.782
Sb  0.415  0.415  0.703
Sb  0.585  0.585  0.297
Sb  0.814  0.814  0.218

Calculated values
D(E_F) = 4.58 states/eV/cell
ΔE_f (raw) = 24 meV per atom
E_tot = -3.278 eV per atom

***

# 21
Computed, not measured: crystalline Sr3LiCl at its relaxed geometry at the PBE-GGA level of DFT.

Lattice parameters (Å, degrees): 5.977 5.977 5.977 90.00 90.00 90.00
Positions (direct):
Sr  0.000  0.000  0.500
Sr  0.000  0.500  0.000
Sr  0.500  0.000  0.000
Li  0.500  0.500  0.500
Cl  0.000  0.000  0.000

Calculated values
D(E_F) = 7.41 states/eV/cell
ΔE_f (raw) = -492 meV per atom
E_tot = -2.253 eV per atom
Excess energy over the best structure of this formula in the dataset = 0.00 eV/f.u.

***

# 22
Computed, not measured: crystalline PuHfRu at its relaxed geometry at the PBE-GGA level of DFT.

Lattice parameters (Å, degrees): 3.248 3.248 11.813 90.00 90.00 90.00
Positions (direct):
Pu  0.000  0.000  0.000
Pu  0.500  0.500  0.500
Hf  0.000  0.000  0.289
Hf  0.500  0.500  0.789
Ru  0.000  0.000  0.666
Ru  0.500  0.500  0.166

Calculated values
Calculated formation energy = -0.53 eV per formula unit
D(E_F) = 14.12 states/eV/cell
E_tot = -11.364 eV per atom
Excess energy over the best structure of this formula in the dataset = 0.07 eV/f.u.

***

# 23
Computed, not measured: crystalline RbAc2Hg at its relaxed geometry at the PBE-GGA level of DFT.

Lattice parameters (Å, degrees): 4.137 4.137 39.577 90.00 90.00 120.00
Positions (direct):
Rb  0.000  0.000  0.000
Rb  0.333  0.667  0.667
Rb  0.667  0.333  0.333
Ac  0.000  0.000  0.107
Ac  0.000  0.000  0.893
Ac  0.333  0.667  0.559
Ac  0.333  0.667  0.774
Ac  0.667  0.333  0.226
Ac  0.667  0.333  0.441
Hg  0.000  0.000  0.500
Hg  0.333  0.667  0.167
Hg  0.667  0.333  0.833

Calculated values
Calculated formation energy = 0.12 eV per formula unit
D(E_F) = 16.47 states/eV/cell
E_tot = -2.342 eV per atom

***

# 24
Computed, not measured: crystalline Mg3TiHg4 at its relaxed geometry at the PBE-GGA level of DFT.

Lattice parameters (Å, degrees): 3.329 3.329 14.814 90.00 90.00 90.00
Positions (direct):
Mg  0.000  0.000  0.000
Mg  0.000  0.000  0.255
Mg  0.000  0.000  0.745
Ti  0.000  0.000  0.500
Hg  0.500  0.500  0.129
Hg  0.500  0.500  0.380
Hg  0.500  0.500  0.620
Hg  0.500  0.500  0.871

Calculated values
Calculated formation energy = -1.16 eV per formula unit
D(E_F) = 4.03 states/eV/cell
E_tot = -1.881 eV per atom